# 1
VASP calculation (PBE) on a relaxed structure of Nd3Cu2Pd3.

## Properties
energy relative to the elements = -0.59 eV/atom

Cell: 5.795 5.795 14.982 Å, 90.00 90.00 136.46°
Fractional coordinates of all 16 atoms:
1 Nd 0.091 0.909 0.602
2 Nd 0.091 0.909 0.898
3 Nd 0.365 0.635 0.750
4 Nd 0.635 0.365 0.250
5 Nd 0.909 0.091 0.102
6 Nd 0.909 0.091 0.398
7 Cu 0.209 0.791 0.105
8 Cu 0.209 0.791 0.395
9 Cu 0.791 0.209 0.605
10 Cu 0.791 0.209 0.895
11 Pd 0.349 0.651 0.250
12 Pd 0.385 0.615 0.542
13 Pd 0.385 0.615 0.958
14 Pd 0.615 0.385 0.042
15 Pd 0.615 0.385 0.458
16 Pd 0.651 0.349 0.750


# 2
VASP calculation (PBE) on a relaxed structure of Ce7Sn.

## Properties
energy relative to the elements = -0.18 eV/atom

Cell: 6.670 6.670 6.670 Å, 60.00 60.00 60.00°
Fractional coordinates of all 8 atoms:
1 Ce 0.000 0.000 0.000
2 Ce 0.000 0.000 0.500
3 Ce 0.000 0.500 0.000
4 Ce 0.000 0.500 0.500
5 Ce 0.500 0.000 0.000
6 Ce 0.500 0.000 0.500
7 Ce 0.500 0.500 0.000
8 Sn 0.500 0.500 0.500


# 3
VASP calculation (PBE) on a relaxed structure of Sc4ZnCuNi2.

## Properties
energy relative to the elements = -0.40 eV/atom

Cell: 7.941 7.941 7.941 Å, 33.44 33.44 33.44°
Fractional coordinates of all 8 atoms:
1 Sc 0.123 0.123 0.123
2 Sc 0.373 0.373 0.373
3 Sc 0.627 0.627 0.627
4 Sc 0.877 0.877 0.877
5 Zn 0.500 0.500 0.500
6 Cu 0.000 0.000 0.000
7 Ni 0.248 0.248 0.248
8 Ni 0.752 0.752 0.752


# 4
VASP calculation (PBE) on a relaxed structure of Na2VCl.

## Properties
formation energy from raw total energies = 0.103 eV per atom
ΔE to the lowest computed polymorph = 0.0 meV per atom

Cell: 7.419 7.419 7.419 Å, 95.90 95.90 142.59°
Fractional coordinates of all 8 atoms:
1 Na 0.006 0.625 0.881
2 Na 0.375 0.256 0.381
3 Na 0.744 0.125 0.119
4 Na 0.875 0.994 0.619
5 V 0.250 0.750 0.500
6 V 0.500 0.500 0.000
7 Cl 0.000 0.000 0.000
8 Cl 0.750 0.250 0.500


# 5
VASP calculation (PBE) on a relaxed structure of CaInN2F.

## Properties
formation energy from raw total energies = -0.298 eV per atom
ΔE to the lowest computed polymorph = 0.0 meV per atom

Cell: 4.122 4.122 4.322 Å, 90.00 90.00 90.00°
Fractional coordinates of all 5 atoms:
1 Ca 0.000 0.000 0.000
2 In 0.500 0.500 0.500
3 N 0.000 0.500 0.500
4 N 0.500 0.000 0.500
5 F 0.500 0.500 0.000


# 6
VASP calculation (PBE) on a relaxed structure of TcAgMo4.

## Properties
energy relative to the elements = 0.42 eV/atom

Cell: 5.193 5.193 5.193 Å, 60.00 60.00 60.00°
Fractional coordinates of all 6 atoms:
1 Tc 0.000 0.000 0.000
2 Ag 0.750 0.750 0.750
3 Mo 0.376 0.376 0.376
4 Mo 0.376 0.376 0.872
5 Mo 0.376 0.872 0.376
6 Mo 0.872 0.376 0.376


# 7
VASP calculation (PBE) on a relaxed structure of LiHfZn2.

## Properties
ΔE to the lowest computed polymorph = 42.8 meV per atom
energy relative to the elements = -0.12 eV/atom

Cell: 4.529 4.529 4.529 Å, 60.00 60.00 60.00°
Fractional coordinates of all 4 atoms:
1 Li 0.000 0.000 0.000
2 Hf 0.500 0.500 0.500
3 Zn 0.250 0.250 0.250
4 Zn 0.750 0.750 0.750


# 8
VASP calculation (PBE) on a relaxed structure of Dy8Ni2Ru.

## Properties
ΔE to the lowest computed polymorph = 81.2 meV per atom
energy relative to the elements = -0.16 eV/atom

Cell: 7.542 7.542 5.794 Å, 99.93 99.93 115.31°
Fractional coordinates of all 11 atoms:
1 Dy 0.000 0.000 0.000
2 Dy 0.021 0.274 0.571
3 Dy 0.144 0.570 0.171
4 Dy 0.274 0.021 0.571
5 Dy 0.442 0.693 0.760
6 Dy 0.570 0.144 0.171
7 Dy 0.693 0.442 0.760
8 Dy 0.721 0.721 0.349
9 Ni 0.059 0.661 0.674
10 Ni 0.661 0.059 0.674
11 Ru 0.363 0.363 0.261


# 9
VASP calculation (PBE) on a relaxed structure of GaW.

## Properties
ΔE to the lowest computed polymorph = 2061.6 meV per atom
energy relative to the elements = 2.21 eV/atom

Cell: 7.054 7.054 7.054 Å, 90.00 90.00 90.00°
Fractional coordinates of all 12 atoms:
1 Ga 0.000 0.250 0.500
2 Ga 0.000 0.750 0.500
3 Ga 0.250 0.500 0.000
4 Ga 0.500 0.000 0.250
5 Ga 0.500 0.000 0.750
6 Ga 0.750 0.500 0.000
7 W 0.000 0.500 0.250
8 W 0.000 0.500 0.750
9 W 0.250 0.000 0.500
10 W 0.500 0.250 0.000
11 W 0.500 0.750 0.000
12 W 0.750 0.000 0.500


# 10
VASP calculation (PBE) on a relaxed structure of Sr2NbSbO6.

## Properties
formation energy from raw total energies = -2.331 eV per atom

Cell: 6.003 6.003 6.003 Å, 60.00 60.00 60.00°
Fractional coordinates of all 10 atoms:
1 Sr 0.250 0.250 0.250
2 Sr 0.750 0.750 0.750
3 Nb 0.000 0.000 0.000
4 Sb 0.500 0.500 0.500
5 O 0.237 0.237 0.763
6 O 0.237 0.763 0.237
7 O 0.237 0.763 0.763
8 O 0.763 0.237 0.237
9 O 0.763 0.237 0.763
10 O 0.763 0.763 0.237


# 11
VASP calculation (PBE) on a relaxed structure of LiPtI.

## Properties
formation energy from raw total energies = -0.396 eV per atom
ΔE to the lowest computed polymorph = 185.3 meV per atom

Cell: 9.237 9.237 9.237 Å, 27.95 27.95 27.95°
Fractional coordinates of all 6 atoms:
1 Li 0.056 0.056 0.056
2 Li 0.944 0.944 0.944
3 Pt 0.327 0.327 0.327
4 Pt 0.673 0.673 0.673
5 I 0.228 0.228 0.228
6 I 0.772 0.772 0.772


# 12
VASP calculation (PBE) on a relaxed structure of SrYMg2.

## Properties
ΔE to the lowest computed polymorph = 406.8 meV per atom
energy relative to the elements = 0.35 eV/atom

Cell: 7.173 7.173 7.173 Å, 103.51 103.51 122.19°
Fractional coordinates of all 8 atoms:
1 Sr 0.000 0.000 0.000
2 Sr 0.750 0.250 0.500
3 Y 0.250 0.750 0.500
4 Y 0.500 0.500 0.000
5 Mg 0.141 0.625 0.016
6 Mg 0.375 0.391 0.516
7 Mg 0.609 0.125 0.984
8 Mg 0.875 0.859 0.484


# 13
VASP calculation (PBE) on a relaxed structure of La2Pm6YMg.

## Properties
energy relative to the elements = 0.10 eV/atom

Cell: 8.797 8.797 9.912 Å, 95.30 95.30 116.52°
Fractional coordinates of all 20 atoms:
1 La 0.201 0.295 0.452
2 La 0.295 0.201 0.952
3 La 0.705 0.799 0.048
4 La 0.799 0.705 0.548
5 Pm 0.001 0.201 0.115
6 Pm 0.077 0.506 0.693
7 Pm 0.201 0.001 0.615
8 Pm 0.246 0.623 0.051
9 Pm 0.377 0.754 0.449
10 Pm 0.494 0.923 0.807
11 Pm 0.506 0.077 0.193
12 Pm 0.623 0.246 0.551
13 Pm 0.754 0.377 0.949
14 Pm 0.799 0.999 0.385
15 Pm 0.923 0.494 0.307
16 Pm 0.999 0.799 0.885
17 Y 0.489 0.511 0.750
18 Y 0.511 0.489 0.250
19 Mg 0.097 0.903 0.250
20 Mg 0.903 0.097 0.750


# 14
VASP calculation (PBE) on a relaxed structure of NdHoSnRh.

## Properties
energy relative to the elements = -0.60 eV/atom

Cell: 5.178 5.178 5.178 Å, 60.00 60.00 60.00°
Fractional coordinates of all 4 atoms:
1 Nd 0.000 0.000 0.000
2 Ho 0.500 0.500 0.500
3 Sn 0.750 0.750 0.750
4 Rh 0.250 0.250 0.250


# 15
VASP calculation (PBE) on a relaxed structure of SrGa2SF.

## Properties
formation energy from raw total energies = -0.967 eV per atom

Cell: 4.413 4.413 6.511 Å, 90.00 90.00 90.00°
Fractional coordinates of all 5 atoms:
1 Sr 0.000 0.000 0.000
2 Ga 0.000 0.500 0.500
3 Ga 0.500 0.000 0.500
4 S 0.500 0.500 0.000
5 F 0.500 0.500 0.500


# 16
VASP calculation (PBE) on a relaxed structure of PrDy2Tl.

## Properties
ΔE to the lowest computed polymorph = 8.8 meV per atom
energy relative to the elements = -0.17 eV/atom

Cell: 3.660 3.660 9.195 Å, 90.00 90.00 90.00°
Fractional coordinates of all 4 atoms:
1 Pr 0.000 0.000 0.000
2 Dy 0.500 0.500 0.278
3 Dy 0.500 0.500 0.722
4 Tl 0.000 0.000 0.500


# 17
VASP calculation (PBE) on a relaxed structure of DyZrPt6.

## Properties
energy relative to the elements = -1.06 eV/atom

Cell: 4.086 4.086 8.173 Å, 90.00 90.00 90.00°
Fractional coordinates of all 8 atoms:
1 Dy 0.000 0.000 0.000
2 Zr 0.000 0.000 0.500
3 Pt 0.000 0.500 0.258
4 Pt 0.000 0.500 0.742
5 Pt 0.500 0.000 0.258
6 Pt 0.500 0.000 0.742
7 Pt 0.500 0.500 0.000
8 Pt 0.500 0.500 0.500


# 18
VASP calculation (PBE) on a relaxed structure of Pm2GaCo4Ge3.

## Properties
energy relative to the elements = -0.53 eV/atom

Cell: 4.084 4.084 9.824 Å, 90.00 90.00 90.00°
Fractional coordinates of all 10 atoms:
1 Pm 0.000 0.500 0.250
2 Pm 0.500 0.000 0.750
3 Ga 0.000 0.000 0.500
4 Co 0.000 0.000 0.000
5 Co 0.000 0.500 0.631
6 Co 0.500 0.000 0.369
7 Co 0.500 0.500 0.000
8 Ge 0.000 0.500 0.872
9 Ge 0.500 0.000 0.128
10 Ge 0.500 0.500 0.500


# 19
VASP calculation (PBE) on a relaxed structure of Be2ZnCr2.

## Properties
ΔE to the lowest computed polymorph = 369.7 meV per atom
energy relative to the elements = 0.49 eV/atom

Cell: 6.051 6.051 6.051 Å, 149.01 149.01 44.40°
Fractional coordinates of all 5 atoms:
1 Be 0.094 0.094 0.000
2 Be 0.906 0.906 0.000
3 Zn 0.500 0.500 0.000
4 Cr 0.250 0.750 0.500
5 Cr 0.750 0.250 0.500


# 20
VASP calculation (PBE) on a relaxed structure of LaTb2Sm4Dy.

## Properties
energy relative to the elements = 0.02 eV/atom

Cell: 6.240 3.626 12.016 Å, 90.00 100.19 90.00°
Fractional coordinates of all 8 atoms:
1 La 0.000 0.000 0.000
2 Tb 0.000 0.500 0.500
3 Tb 0.500 0.000 0.500
4 Sm 0.250 0.500 0.254
5 Sm 0.251 0.000 0.748
6 Sm 0.749 0.000 0.252
7 Sm 0.750 0.500 0.746
8 Dy 0.500 0.500 0.000


no.,raw total energy (eV for the cell shown)
1,-85.524
2,-47.006
3,-45.497
4,-26.383
5,-24.752
6,-54.045
7,-14.905
8,-59.381
9,-69.349
10,-70.618
11,-21.385
12,-19.885
13,-90.828
14,-23.091
15,-18.571
16,-17.047
17,-57.895
18,-60.139
19,-25.503
20,-37.516